Entry 1:
First-principles (SCAN) data for a PBEsol-optimized structure of Er2B6Rh9, as listed in the Alexandria database.

Unit cell a=5.5160 b=5.5160 c=8.4765 alpha=90.00 beta=90.00 gamma=120.00
With the nearest neighbours (Å) after each atom.
Atoms (fractional coordinates):
Rh: 0.5000 0.0000 0.1644  4 B 2.12-2.14
Rh: 0.5000 0.0000 0.5000  4 B 2.13
Rh: 0.5000 0.5000 0.1644  4 B 2.12-2.14
Rh: 0.5000 0.0000 0.8356  4 B 2.12-2.14
Rh: 0.5000 0.5000 0.5000  4 B 2.13
Rh: 0.0000 0.5000 0.1644  4 B 2.12-2.14
Rh: 0.5000 0.5000 0.8356  4 B 2.12-2.14
Rh: 0.0000 0.5000 0.5000  4 B 2.13
Rh: 0.0000 0.5000 0.8356  4 B 2.12-2.14
B: 0.3333 0.6667 0.6675  6 Rh 2.13-2.14
B: 0.3333 0.6667 0.0000  6 Rh 2.12
B: 0.6667 0.3333 0.6675  6 Rh 2.13-2.14
B: 0.6667 0.3333 0.3325  6 Rh 2.13-2.14
B: 0.6667 0.3333 0.0000  6 Rh 2.12
B: 0.3333 0.6667 0.3325  6 Rh 2.13-2.14
Er: 0.0000 0.0000 0.7047  12 Rh 2.97-3.26, 6 B 3.20
Er: 0.0000 0.0000 0.2953  12 Rh 2.97-3.26, 6 B 3.20

Calculated total energy in eV per atom: -27.176
Formation enthalpy at 0 K in eV/f.u.: -12.8
Size of the total moment in μB/atom: 0.000



Entry 2:
First-principles (SCAN) data for a PBEsol-optimized structure of Er2B6Rh, as listed in the Alexandria database.

Unit cell a=3.5756 b=9.0705 c=11.3870 alpha=90.00 beta=90.00 gamma=90.00
With the nearest neighbours (Å) after each atom.
Atoms (fractional coordinates):
B: 0.0000 0.3907 0.9703  2 B 1.77-1.79
B: 0.0000 0.2939 0.2356  3 B 1.73-1.82
B: 0.0000 0.7506 0.9205  3 B 1.79-1.82
B: 0.0000 0.7494 0.4205  3 B 1.79-1.82
B: 0.0000 0.2061 0.7356  3 B 1.73-1.82
B: 0.0000 0.8907 0.5297  2 B 1.77-1.79
B: 0.0000 0.9822 0.2126  3 B 1.79-1.81
B: 0.0000 0.1327 0.3162  3 B 1.73-1.80
B: 0.0000 0.9469 0.9342  3 B 1.78-1.79
B: 0.0000 0.8673 0.6838  3 B 1.73-1.80
B: 0.0000 0.0531 0.0658  3 B 1.78-1.79
B: 0.0000 0.4822 0.2874  3 B 1.79-1.81
B: 0.0000 0.1093 0.4703  2 B 1.77-1.79
B: 0.0000 0.3673 0.8162  3 B 1.73-1.80
B: 0.0000 0.0178 0.7874  3 B 1.79-1.81
B: 0.0000 0.5178 0.7126  3 B 1.79-1.81
B: 0.0000 0.2506 0.5795  3 B 1.79-1.82
B: 0.0000 0.7061 0.7644  3 B 1.73-1.82
B: 0.0000 0.7939 0.2644  3 B 1.73-1.82
B: 0.0000 0.6093 0.0297  2 B 1.77-1.79
B: 0.0000 0.4469 0.5658  3 B 1.78-1.79
B: 0.0000 0.5531 0.4342  3 B 1.78-1.79
B: 0.0000 0.6327 0.1838  3 B 1.73-1.80
B: 0.0000 0.2494 0.0795  3 B 1.79-1.82
Er: 0.5000 0.8224 0.0864  14 B 2.68-2.76
Er: 0.5000 0.5558 0.8736  12 B 2.56-2.58, 2 Rh 2.83
Er: 0.5000 0.9442 0.3736  12 B 2.56-2.58, 2 Rh 2.83
Er: 0.5000 0.1776 0.9136  14 B 2.68-2.76
Er: 0.5000 0.0558 0.6264  12 B 2.56-2.58, 2 Rh 2.83
Er: 0.5000 0.3224 0.4136  14 B 2.68-2.76
Er: 0.5000 0.4442 0.1264  12 B 2.56-2.58, 2 Rh 2.83
Er: 0.5000 0.6776 0.5864  14 B 2.68-2.76
Rh: 0.5000 0.8605 0.8207  10 B 2.32-2.37
Rh: 0.5000 0.1395 0.1793  10 B 2.32-2.37
Rh: 0.5000 0.3605 0.6793  10 B 2.32-2.37
Rh: 0.5000 0.6395 0.3207  10 B 2.32-2.37

Calculated total energy in eV per atom: -20.648
Formation enthalpy at 0 K in eV/f.u.: -6.8
Size of the total moment in μB/atom: 0.000



Entry 3:
First-principles (SCAN) data for a PBEsol-optimized structure of ErB2Rh3, as listed in the Alexandria database.

Unit cell a=3.1007 b=5.3277 c=5.3277 alpha=120.00 beta=90.00 gamma=90.00
With the nearest neighbours (Å) after each atom.
Atoms (fractional coordinates):
Er: 0.0000 0.0000 0.0000  6 B 3.08, 12 Rh 3.08, 2 Er 3.10
B: 0.0000 0.3333 0.6667  6 Rh 2.18
B: 0.0000 0.6667 0.3333  6 Rh 2.18
Rh: 0.5000 0.5000 0.0000  4 B 2.18
Rh: 0.5000 0.5000 0.5000  4 B 2.18
Rh: 0.5000 0.0000 0.5000  4 B 2.18

Calculated total energy in eV per atom: -28.596
Formation enthalpy at 0 K in eV/f.u.: -5.1
Size of the total moment in μB/atom: 0.000



Entry 4:
First-principles (SCAN) data for a PBEsol-optimized structure of Er2B6Ru, as listed in the Alexandria database.

Unit cell a=3.5840 b=9.0303 c=11.3852 alpha=90.00 beta=90.00 gamma=90.00
With the nearest neighbours (Å) after each atom.
Atoms (fractional coordinates):
Ru: 0.0000 0.8623 0.8210  10 B 2.31-2.37
Ru: 0.0000 0.1377 0.1790  10 B 2.31-2.37
Ru: 0.0000 0.3623 0.6790  10 B 2.31-2.37
Ru: 0.0000 0.6377 0.3210  10 B 2.31-2.37
B: 0.5000 0.7910 0.2660  3 B 1.71-1.83
B: 0.5000 0.3689 0.8152  3 B 1.71-1.78
B: 0.5000 0.9463 0.9333  3 B 1.76-1.80
B: 0.5000 0.6069 0.0295  2 B 1.78-1.80
B: 0.5000 0.4825 0.2874  3 B 1.78-1.83
B: 0.5000 0.7090 0.7660  3 B 1.71-1.83
B: 0.5000 0.1311 0.3152  3 B 1.71-1.78
B: 0.5000 0.6311 0.1848  3 B 1.71-1.78
B: 0.5000 0.9825 0.2126  3 B 1.78-1.83
B: 0.5000 0.2516 0.5799  3 B 1.76-1.80
B: 0.5000 0.7484 0.4201  3 B 1.76-1.80
B: 0.5000 0.7516 0.9201  3 B 1.76-1.80
B: 0.5000 0.0175 0.7874  3 B 1.78-1.83
B: 0.5000 0.8689 0.6848  3 B 1.71-1.78
B: 0.5000 0.0537 0.0667  3 B 1.76-1.80
B: 0.5000 0.8931 0.5295  2 B 1.78-1.80
B: 0.5000 0.4463 0.5667  3 B 1.76-1.80
B: 0.5000 0.2484 0.0799  3 B 1.76-1.80
B: 0.5000 0.5175 0.7126  3 B 1.78-1.83
B: 0.5000 0.1069 0.4705  2 B 1.78-1.80
B: 0.5000 0.5537 0.4333  3 B 1.76-1.80
B: 0.5000 0.2090 0.7340  3 B 1.71-1.83
B: 0.5000 0.2910 0.2340  3 B 1.71-1.83
B: 0.5000 0.3931 0.9705  2 B 1.78-1.80
Er: 0.0000 0.0566 0.6278  12 B 2.55-2.58, 2 Ru 2.81-2.82
Er: 0.0000 0.4434 0.1278  12 B 2.55-2.58, 2 Ru 2.81-2.82
Er: 0.0000 0.6781 0.5859  14 B 2.68-2.76
Er: 0.0000 0.8219 0.0859  14 B 2.68-2.76
Er: 0.0000 0.9434 0.3722  12 B 2.55-2.58, 2 Ru 2.81-2.82
Er: 0.0000 0.5566 0.8722  12 B 2.55-2.58, 2 Ru 2.81-2.82
Er: 0.0000 0.3219 0.4141  14 B 2.68-2.76
Er: 0.0000 0.1781 0.9141  14 B 2.68-2.76

Calculated total energy in eV per atom: -20.809
Formation enthalpy at 0 K in eV/f.u.: -7.2
Size of the total moment in μB/atom: 0.000



Entry 5:
First-principles (SCAN) data for a PBEsol-optimized structure of ErB2Ru, as listed in the Alexandria database.

Unit cell a=5.2449 b=5.8027 c=6.2581 alpha=90.00 beta=90.00 gamma=90.00
With the nearest neighbours (Å) after each atom.
Atoms (fractional coordinates):
Ru: 0.2500 0.1812 0.8185  6 B 2.22-2.24
Ru: 0.7500 0.8188 0.1815  6 B 2.22-2.24
Ru: 0.2500 0.6812 0.6815  6 B 2.22-2.24
Ru: 0.7500 0.3188 0.3185  6 B 2.22-2.24
B: 0.0824 0.8660 0.9614  2 B 1.76-1.84
B: 0.5824 0.1340 0.0386  2 B 1.76-1.84
B: 0.4176 0.8660 0.9614  2 B 1.76-1.84
B: 0.9176 0.6340 0.4614  2 B 1.76-1.84
B: 0.9176 0.1340 0.0386  2 B 1.76-1.84
B: 0.0824 0.3660 0.5386  2 B 1.76-1.84
B: 0.5824 0.6340 0.4614  2 B 1.76-1.84
B: 0.4176 0.3660 0.5386  2 B 1.76-1.84
Er: 0.2500 0.5092 0.1639  6 B 2.58-2.65, 1 Ru 2.88
Er: 0.7500 0.4908 0.8361  6 B 2.58-2.65, 1 Ru 2.88
Er: 0.7500 0.9908 0.6639  6 B 2.58-2.65, 1 Ru 2.88
Er: 0.2500 0.0092 0.3361  6 B 2.58-2.65, 1 Ru 2.88

Calculated total energy in eV per atom: -25.722
Formation enthalpy at 0 K in eV/f.u.: -2.9
Size of the total moment in μB/atom: 0.000



Entry 6:
First-principles (SCAN) data for a PBEsol-optimized structure of Er9B5S21, as listed in the Alexandria database.

Unit cell a=10.9366 b=10.9366 c=10.9366 alpha=95.13 beta=95.13 gamma=95.13
With the nearest neighbours (Å) after each atom.
Atoms (fractional coordinates):
S: 0.5693 0.1392 0.6864  1 B 1.96
S: 0.6070 0.8319 0.7007  1 B 1.82
S: 0.5264 0.9479 0.4293  1 B 1.94
S: 0.6569 0.3086 0.9702  1 B 1.93
S: 0.4293 0.5264 0.9479  1 B 1.94
S: 0.8614 0.2975 0.7478  1 B 1.93
S: 0.8305 0.3479 0.2247  1 B 1.94
S: 0.0256 0.9391 0.1624  1 B 1.83
S: 0.1624 0.0256 0.9391  1 B 1.83
S: 0.2118 0.6061 0.0806  1 B 1.94
S: 0.0118 0.7442 0.9064  3 Er 2.61-2.64
S: 0.9702 0.6569 0.3086  1 B 1.93
S: 0.1602 0.4723 0.8035  1 B 1.93
S: 0.0114 0.9113 0.4865  1 B 1.93
S: 0.5581 0.6448 0.4213  1 B 1.83
S: 0.2326 0.3151 0.0916  1 B 1.82
S: 0.6448 0.4213 0.5581  1 B 1.83
S: 0.7478 0.8614 0.2975  1 B 1.93
S: 0.8319 0.7007 0.6070  1 B 1.82
S: 0.9064 0.0118 0.7442  3 Er 2.61-2.64
S: 0.5330 0.3608 0.2652  3 Er 2.61-2.66
S: 0.9391 0.1624 0.0256  1 B 1.83
S: 0.0916 0.2326 0.3151  1 B 1.82
S: 0.2975 0.7478 0.8614  1 B 1.93
S: 0.6864 0.5693 0.1392  1 B 1.96
S: 0.3479 0.2247 0.8305  1 B 1.94
S: 0.9113 0.4865 0.0114  1 B 1.93
S: 0.7007 0.6070 0.8319  1 B 1.82
S: 0.2247 0.8305 0.3479  1 B 1.94
S: 0.7442 0.9064 0.0118  3 Er 2.61-2.64
S: 0.8035 0.1602 0.4723  1 B 1.93
S: 0.3151 0.0916 0.2326  1 B 1.82
S: 0.9479 0.4293 0.5264  1 B 1.94
S: 0.4865 0.0114 0.9113  1 B 1.93
S: 0.1392 0.6864 0.5693  1 B 1.96
S: 0.6061 0.0806 0.2118  1 B 1.94
S: 0.3086 0.9702 0.6569  1 B 1.93
S: 0.0806 0.2118 0.6061  1 B 1.94
S: 0.3608 0.2652 0.5330  3 Er 2.61-2.66
S: 0.4213 0.5581 0.6448  1 B 1.83
S: 0.4723 0.8035 0.1602  1 B 1.93
S: 0.2652 0.5330 0.3608  3 Er 2.61-2.66
B: 0.2105 0.2105 0.2105  3 S 1.82
B: 0.7106 0.7106 0.7106  3 S 1.82
B: 0.9178 0.2687 0.5859  4 S 1.93-1.94
B: 0.4241 0.0820 0.7659  4 S 1.93-1.96
B: 0.7659 0.4241 0.0820  4 S 1.93-1.96
B: 0.2687 0.5859 0.9178  4 S 1.93-1.94
B: 0.5859 0.9178 0.2687  4 S 1.93-1.94
B: 0.0820 0.7659 0.4241  4 S 1.93-1.96
B: 0.5316 0.5316 0.5316  3 S 1.83
B: 0.0321 0.0321 0.0321  3 S 1.83
Er: 0.8470 0.0852 0.2339  6 S 2.62-2.91
Er: 0.5404 0.7650 0.9284  7 S 2.64-2.83
Er: 0.4538 0.2095 0.0665  7 S 2.64-2.80
Er: 0.2095 0.0665 0.4538  7 S 2.64-2.80
Er: 0.4295 0.5534 0.1972  6 S 2.61-2.81
Er: 0.3758 0.7624 0.5253  6 S 2.64-2.83
Er: 0.7624 0.5253 0.3758  6 S 2.64-2.83
Er: 0.0873 0.8681 0.7294  6 S 2.61-2.81
Er: 0.1972 0.4295 0.5534  6 S 2.61-2.81
Er: 0.7294 0.0873 0.8681  6 S 2.61-2.81
Er: 0.7650 0.9284 0.5404  7 S 2.64-2.83
Er: 0.0852 0.2339 0.8470  6 S 2.62-2.91
Er: 0.5253 0.3758 0.7624  6 S 2.64-2.83
Er: 0.9284 0.5404 0.7650  7 S 2.64-2.83
Er: 0.8681 0.7294 0.0873  6 S 2.61-2.81
Er: 0.0665 0.4538 0.2095  7 S 2.64-2.80
Er: 0.5534 0.1972 0.4295  6 S 2.61-2.81
Er: 0.2339 0.8470 0.0852  6 S 2.62-2.91

Calculated total energy in eV per atom: -21.449
Size of the total moment in μB/atom: 0.000
Energy relative to the elements, uncorrected in eV per atom: -1.666